Computed, not measured: a relaxed Dy2Y6Pu crystal at the PBE level of DFT.

Values from the calculation:
- symmetry = P-1, No. 2
- ΔH_f (0 K) (eV/f.u.) = 0.7
- energy above the most stable polymorph in this dataset (eV per atom) = 0.000

```
Dy2Y6Pu
1.0
3.524 0.000 0.000
1.757 8.232 0.000
1.749 2.093 9.857
Dy Y Pu
2 6 1
Direct
0.180 0.478 0.163
0.820 0.522 0.837
0.109 0.837 0.944
0.278 0.833 0.610
0.459 0.822 0.262
0.541 0.178 0.738
0.722 0.167 0.390
0.891 0.163 0.056
0.000 0.500 0.500
```

Computed, not measured: a relaxed KScInS2 crystal at the PBE level of DFT.

Values from the calculation:
- symmetry = P4/mmm, No. 123
- formation energy from raw total energies (eV/atom) = 0.1112

```
KScInS2
1.0
5.384 0.000 0.000
0.000 5.384 0.000
0.000 0.000 5.324
K Sc In S
1 1 1 2
Direct
0.000 0.000 0.000
0.500 0.500 0.000
0.500 0.500 0.500
0.000 0.500 0.500
0.500 0.000 0.500
```

Computed, not measured: a relaxed YFeHgW2 crystal at the PBE level of DFT.

Values from the calculation:
- symmetry = P4/mmm, No. 123
- ΔH_f (0 K) (eV/f.u.) = 12.5

```
YFeHgW2
1.0
4.983 0.000 0.000
0.000 4.983 0.000
0.000 0.000 5.337
Y Fe Hg W
1 1 1 2
Direct
0.000 0.000 0.000
0.500 0.500 0.000
0.000 0.000 0.500
0.000 0.500 0.500
0.500 0.000 0.500
```

Computed, not measured: a relaxed TiFeRuBr2 crystal at the PBE level of DFT.

Values from the calculation:
- symmetry = P4/mmm, No. 123
- formation energy from raw total energies (eV/atom) = 0.9162

```
TiFeRuBr2
1.0
5.060 0.000 0.000
0.000 5.060 0.000
0.000 0.000 4.683
Ti Fe Ru Br
1 1 1 2
Direct
0.000 0.000 0.000
0.500 0.500 0.000
0.000 0.000 0.500
0.000 0.500 0.500
0.500 0.000 0.500
```

Computed, not measured: a relaxed PrIn3Ir2 crystal at the PBE level of DFT.

Values from the calculation:
- symmetry = C2/m, No. 12
- ΔH_f (0 K) (eV/f.u.) = -1.9

```
PrIn3Ir2
1.0
9.169 -2.148 0.000
9.169 2.148 0.000
-3.691 0.000 10.259
Pr In Ir
3 9 6
Direct
0.000 0.000 0.000
0.165 0.165 0.697
0.835 0.835 0.303
0.038 0.038 0.338
0.216 0.216 0.396
0.327 0.327 0.044
0.371 0.371 0.803
0.500 0.500 0.500
0.629 0.629 0.197
0.673 0.673 0.956
0.784 0.784 0.604
0.962 0.962 0.662
0.206 0.206 0.137
0.366 0.366 0.546
0.477 0.477 0.195
0.523 0.523 0.805
0.634 0.634 0.454
0.794 0.794 0.863
```

Computed, not measured: a relaxed LiPrGdZn crystal at the PBE level of DFT.

Values from the calculation:
- symmetry = F-43m, No. 216
- ΔH_f (0 K) (eV/f.u.) = -0.5

```
LiPrGdZn
1.0
0.000 3.701 3.701
3.701 0.000 3.701
3.701 3.701 0.000
Li Pr Gd Zn
1 1 1 1
Direct
0.000 0.000 0.000
0.750 0.750 0.750
0.250 0.250 0.250
0.500 0.500 0.500
```

Computed, not measured: a relaxed TmPaSnAu crystal at the PBE level of DFT.

Values from the calculation:
- symmetry = F-43m, No. 216
- ΔH_f (0 K) (eV/f.u.) = -1.3

```
TmPaSnAu
1.0
0.000 3.684 3.684
3.684 0.000 3.684
3.684 3.684 0.000
Tm Pa Sn Au
1 1 1 1
Direct
0.000 0.000 0.000
0.500 0.500 0.500
0.750 0.750 0.750
0.250 0.250 0.250
```

Computed, not measured: a relaxed SrAlZn2Cu crystal at the PBE level of DFT.

Values from the calculation:
- symmetry = Imm2, No. 44
- ΔH_f (0 K) (eV/f.u.) = -1.1
- energy above the most stable polymorph in this dataset (eV per atom) = 0.000

```
SrAlZn2Cu
1.0
-2.089 2.157 5.578
2.089 -2.157 5.578
2.089 2.157 -5.578
Sr Al Zn Cu
1 1 2 1
Direct
0.000 0.000 0.000
0.255 0.755 0.500
0.613 0.613 0.000
0.757 0.257 0.500
0.381 0.381 0.000
```

Computed, not measured: a relaxed Si2TcHg crystal at the PBE level of DFT.

Values from the calculation:
- symmetry = I4/mmm, No. 139
- formation energy from raw total energies (eV/atom) = 0.4938

```
Si2TcHg
1.0
-2.029 2.029 3.824
2.029 -2.029 3.824
2.029 2.029 -3.824
Si Tc Hg
2 1 1
Direct
0.250 0.750 0.500
0.750 0.250 0.500
0.000 0.000 0.000
0.500 0.500 0.000
```

Taking the records one at a time from the top gives calculated density values of 6.40; 2.83; 8.93; 5.05; 10.72; 6.07; 11.88; 5.10; 9.36 Mg/m³.
Taking the records one at a time from the top gives density of states at the Fermi level values of 17.50; 3.86; 10.23; 8.00; 9.15; 3.52; 8.48; 2.54; 3.89 states/eV per cell.